[1]
Below is an optimized crystal structure of Sm4Y5Tm2, with properties calculated at the PBE-GGA level.

a = 24.0045 Å, b = 3.5462 Å, c = 8.6149 Å
α = 90.00°, β = 94.76°, γ = 90.00°
Space group C2/m (No. 12)
Asymmetric unit:
Sm  0.0391  0.0000  0.3447 [4 per cell]
Sm  0.2241  0.5000  0.8274 [4 per cell]
Y  0.0000  0.5000  0.0000 [2 per cell]
Y  0.1301  0.0000  0.0458 [4 per cell]
Y  0.1845  0.0000  0.4743 [4 per cell]
Tm  0.0878  0.5000  0.6951 [4 per cell]

Results
Energy relative to the elements ... 0.10 eV per atom
Excess energy over the best structure of this formula in the dataset ... 0 meV per atom

[2]
Below is an optimized crystal structure of Sr2LiRhO, with properties calculated at the PBE-GGA level.

a = 5.0792 Å, b = 5.0792 Å, c = 3.8926 Å
α = 90.00°, β = 90.00°, γ = 90.00°
Space group P4/mmm (No. 123)
Asymmetric unit:
Sr  0.0000  0.5000  0.0000 [2 per cell]
Li  0.0000  0.0000  0.5000 [1 per cell]
Rh  0.5000  0.5000  0.5000 [1 per cell]
O  0.0000  0.0000  0.0000 [1 per cell]

[3]
Below is an optimized crystal structure of Be2Bi2B, with properties calculated at the PBE-GGA level.

a = 3.2615 Å, b = 3.2615 Å, c = 17.1896 Å
α = 90.00°, β = 90.00°, γ = 90.00°
Space group I4/mmm (No. 139)
Asymmetric unit:
Be  0.0000  0.5000  0.2500 [4 per cell]
Bi  0.0000  0.0000  0.0983 [4 per cell]
B  0.0000  0.0000  0.5000 [2 per cell]

Results
Energy relative to the elements ... 1.06 eV per atom
Excess energy over the best structure of this formula in the dataset ... 0 meV per atom

Here are the calculated DFT total energy numbers, same order: -5.37, -4.61, -3.32 (eV/atom).